Density functional theory data (PBE) for a relaxed CrMo3Rh crystal.

Results
DOS(E_F) = 1.111 states/eV/atom
Crystal system = cubic
V = 17.18 A^3/atom
Relative energy among the computed polymorphs = 0 meV/atom
Energy of formation from the pure elements = 26.9 kcal/mol of atoms

a = 4.4124 Å, b = 4.4124 Å, c = 4.4124 Å
α = 90.00°, β = 90.00°, γ = 90.00°
Closest atoms and distances in Å follow each position.
Fractional positions:
Cr: 0.0000 0.0000 0.0000  6 Mo 2.21
Mo: 0.0000 0.0000 0.5000  2 Cr 2.21
Mo: 0.0000 0.5000 0.0000  2 Cr 2.21
Mo: 0.5000 0.0000 0.0000  2 Cr 2.21
Rh: 0.5000 0.5000 0.5000  12 Mo 3.12

---

Density functional theory data (PBE) for a relaxed Cr2MoRh2 crystal.

Results
DOS(E_F) = 0.550 states/eV/atom
Crystal system = tetragonal
V = 13.75 A^3/atom
Relative energy among the computed polymorphs = 0 meV/atom
Energy of formation from the pure elements = 1.5 kcal/mol of atoms

a = 7.1678 Å, b = 7.1678 Å, c = 2.6771 Å
α = 90.00°, β = 90.00°, γ = 90.00°
Closest atoms and distances in Å follow each position.
Fractional positions:
Cr: 0.1165 0.3835 0.0000  1 Cr 2.36, 6 Rh 2.49-2.53
Cr: 0.3835 0.8835 0.0000  1 Cr 2.36, 6 Rh 2.49-2.53
Cr: 0.6165 0.1165 0.0000  1 Cr 2.36, 6 Rh 2.49-2.53
Cr: 0.8835 0.6165 0.0000  1 Cr 2.36, 6 Rh 2.49-2.53
Mo: 0.0000 0.0000 0.0000  2 Mo 2.68, 4 Cr 2.87, 8 Rh 2.96
Mo: 0.5000 0.5000 0.0000  2 Mo 2.68, 4 Cr 2.87, 8 Rh 2.96
Rh: 0.1767 0.6767 0.5000  6 Cr 2.49-2.53, 2 Rh 2.68
Rh: 0.3233 0.1767 0.5000  6 Cr 2.49-2.53, 2 Rh 2.68
Rh: 0.6767 0.8233 0.5000  6 Cr 2.49-2.53, 2 Rh 2.68
Rh: 0.8233 0.3233 0.5000  6 Cr 2.49-2.53, 2 Rh 2.68

---

Density functional theory data (PBE) for a relaxed CrMo3Rh4 crystal.

Results
DOS(E_F) = 0.802 states/eV/atom
Crystal system = tetragonal
V = 14.44 A^3/atom
Energy of formation from the pure elements = -3.3 kcal/mol of atoms

a = 8.2026 Å, b = 8.2026 Å, c = 8.2026 Å
α = 152.75°, β = 152.75°, γ = 38.92°
Closest atoms and distances in Å follow each position.
Fractional positions:
Cr: 0.0000 0.0000 0.0000  8 Rh 2.71, 4 Mo 2.73
Mo: 0.2494 0.2494 0.0000  4 Mo 2.73, 8 Rh 2.75-2.77
Mo: 0.5000 0.5000 0.0000  8 Rh 2.71, 4 Cr 2.73
Mo: 0.7506 0.7506 0.0000  4 Mo 2.73, 8 Rh 2.75-2.77
Rh: 0.1225 0.6225 0.5000  2 Cr 2.71, 6 Mo 2.71-2.77, 4 Rh 2.73
Rh: 0.3775 0.8775 0.5000  2 Cr 2.71, 6 Mo 2.71-2.77, 4 Rh 2.73
Rh: 0.6225 0.1225 0.5000  2 Cr 2.71, 6 Mo 2.71-2.77, 4 Rh 2.73
Rh: 0.8775 0.3775 0.5000  2 Cr 2.71, 6 Mo 2.71-2.77, 4 Rh 2.73

---

Density functional theory data (PBE) for a relaxed CrMoRh crystal.

Results
DOS(E_F) = 1.750 states/eV/atom
Crystal system = cubic
V = 15.87 A^3/atom
Relative energy among the computed polymorphs = 552 meV/atom
Energy of formation from the pure elements = 13.2 kcal/mol of atoms

a = 4.0685 Å, b = 4.0685 Å, c = 4.0685 Å
α = 60.00°, β = 60.00°, γ = 60.00°
Closest atoms and distances in Å follow each position.
Fractional positions:
Cr: 0.0000 0.0000 0.0000  4 Mo 2.49, 4 Rh 2.49
Mo: 0.7500 0.7500 0.7500  4 Cr 2.49
Rh: 0.2500 0.2500 0.2500  4 Cr 2.49

---

Which of these has the highest DOS(E_F)? CrMoRh

---

Among the records above, which one has the lowest energy of formation from the pure elements? CrMo3Rh4